[1]
DFT (GGA-PBE) results for crystalline Pu4GeBr5 at its relaxed geometry.

Cell and atoms, written as POSCAR:
```
Pu4GeBr5
1.0
9.154 -2.075 0.000
9.154 2.075 0.000
-1.771 0.000 8.340
Pu Ge Br
4 1 5
Direct
0.003 0.003 0.240
0.339 0.339 0.930
0.661 0.661 0.070
0.997 0.997 0.760
0.500 0.500 0.000
0.168 0.168 0.819
0.169 0.169 0.324
0.500 0.500 0.500
0.831 0.831 0.676
0.832 0.832 0.181
```

Output
The crystal system is monoclinic. For the volume, the calculation gives 31.68 Å³/atom. As for the energy relative to the elements, uncorrected: -1.121 eV/atom.



[2]
DFT (GGA-PBE) results for crystalline Pu2GeBr at its relaxed geometry.

Cell and atoms, written as POSCAR:
```
Pu2GeBr
1.0
3.535 0.000 0.000
0.000 3.535 0.000
0.000 0.000 7.804
Pu Ge Br
2 1 1
Direct
0.000 0.000 0.217
0.000 0.000 0.783
0.500 0.500 0.000
0.500 0.500 0.500
```

Output
The crystal system is tetragonal. For the volume, the calculation gives 24.38 Å³/atom. As for the energy relative to the elements, uncorrected: -0.656 eV/atom. The energy relative to the lowest polymorph listed for this composition comes out at 0.0 meV per atom.